Record 1
{"formula": "Hf3Sc5As8", "functional": "PBE", "state": "relaxed", "cell": [[3.851, 2.223, 6.312], [-3.851, 2.223, 6.312], [0.000, -4.447, 6.312]], "species": ["Hf", "Hf", "Hf", "Sc", "Sc", "Sc", "Sc", "Sc", "As", "As", "As", "As", "As", "As", "As", "As"], "frac_coords": [[0.000, 0.500, 0.500], [0.500, 0.000, 0.500], [0.500, 0.500, 0.000], [0.000, 0.000, 0.000], [0.000, 0.000, 0.500], [0.000, 0.500, 0.000], [0.500, 0.000, 0.000], [0.500, 0.500, 0.500], [0.250, 0.250, 0.250], [0.250, 0.250, 0.749], [0.250, 0.749, 0.250], [0.251, 0.750, 0.750], [0.749, 0.250, 0.250], [0.750, 0.251, 0.750], [0.750, 0.750, 0.251], [0.750, 0.750, 0.750]], "delta_e_f_ev_per_atom": -1.247, "spacegroup": "R-3m (166)"}

---

Record 2
{"formula": "AlOs3", "functional": "PBE", "state": "relaxed", "cell": [[6.126, 0.000, 0.000], [0.000, 6.126, 0.000], [0.000, 0.000, 6.126]], "species": ["Al", "Al", "Al", "Al", "Os", "Os", "Os", "Os", "Os", "Os", "Os", "Os", "Os", "Os", "Os", "Os"], "frac_coords": [[0.000, 0.000, 0.000], [0.000, 0.500, 0.500], [0.500, 0.000, 0.500], [0.500, 0.500, 0.000], [0.000, 0.000, 0.500], [0.000, 0.500, 0.000], [0.250, 0.250, 0.250], [0.250, 0.250, 0.750], [0.250, 0.750, 0.250], [0.250, 0.750, 0.750], [0.500, 0.000, 0.000], [0.500, 0.500, 0.500], [0.750, 0.250, 0.250], [0.750, 0.250, 0.750], [0.750, 0.750, 0.250], [0.750, 0.750, 0.750]], "delta_e_f_ev_per_atom": 0.227, "spacegroup": "Fm-3m (225)"}